Run one
First-principles (PBE) data for a geometry-optimized BeGaSbOs structure, as listed in the Open Quantum Materials Database.

Lattice parameters (Å, degrees): 6.3223 6.3223 6.3223 90.00 90.00 90.00
With the nearest neighbours (Å) after each atom.
Space group F-43m (No. 216)
Symmetry-distinct sites (fractional):
Be 0.0000 0.0000 0.0000 (multiplicity 4)  4 Sb 2.74, 4 Os 2.74
Ga 0.0000 0.0000 0.5000 (multiplicity 4)  4 Os 2.74, 4 Sb 2.74
Sb 0.2500 0.2500 0.2500 (multiplicity 4)  4 Ga 2.74, 4 Be 2.74
Os 0.2500 0.2500 0.7500 (multiplicity 4)  4 Be 2.74, 4 Ga 2.74

Properties
magnetic moment = 0.0006 μB/atom
mass density = 10269 kg/m3
V = 15.79 Å³/atom



Run two
First-principles (PBE) data for a geometry-optimized BeGaSbOs structure, as listed in the Open Quantum Materials Database.

Lattice parameters (Å, degrees): 6.3120 6.3120 6.3120 90.00 90.00 90.00
With the nearest neighbours (Å) after each atom.
Space group F-43m (No. 216)
Symmetry-distinct sites (fractional):
Be 0.0000 0.0000 0.0000 (multiplicity 4)  4 Ga 2.73, 4 Sb 2.73
Ga 0.2500 0.2500 0.7500 (multiplicity 4)  4 Os 2.73, 4 Be 2.73
Sb 0.2500 0.2500 0.2500 (multiplicity 4)  4 Os 2.73, 4 Be 2.73
Os 0.0000 0.0000 0.5000 (multiplicity 4)  4 Sb 2.73, 4 Ga 2.73

Properties
magnetic moment = 0.0012 μB/atom
mass density = 10320 kg/m3
V = 15.72 Å³/atom



Quick one: least stable of them? run one



Run one
First-principles (PBE) data for a geometry-optimized BeTlGaPd structure, as listed in the Open Quantum Materials Database.

Lattice parameters (Å, degrees): 6.4870 6.4870 6.4870 90.00 90.00 90.00
With the nearest neighbours (Å) after each atom.
Space group F-43m (No. 216)
Symmetry-distinct sites (fractional):
Be 0.0000 0.0000 0.0000 (multiplicity 4)  4 Tl 2.81, 4 Pd 2.81
Tl 0.2500 0.2500 0.2500 (multiplicity 4)  4 Ga 2.81, 4 Be 2.81
Ga 0.0000 0.0000 0.5000 (multiplicity 4)  4 Pd 2.81, 4 Tl 2.81
Pd 0.2500 0.2500 0.7500 (multiplicity 4)  4 Be 2.81, 4 Ga 2.81

Properties
mass density = 9478 kg/m3
V = 17.06 Å³/atom



Run two
First-principles (PBE) data for a geometry-optimized BeTlGaPd structure, as listed in the Open Quantum Materials Database.

Lattice parameters (Å, degrees): 6.5136 6.5136 6.5136 90.00 90.00 90.00
With the nearest neighbours (Å) after each atom.
Space group F-43m (No. 216)
Symmetry-distinct sites (fractional):
Be 0.0000 0.0000 0.0000 (multiplicity 4)  4 Ga 2.82, 4 Tl 2.82
Tl 0.2500 0.2500 0.2500 (multiplicity 4)  4 Be 2.82, 4 Pd 2.82
Ga 0.2500 0.2500 0.7500 (multiplicity 4)  4 Be 2.82, 4 Pd 2.82
Pd 0.0000 0.0000 0.5000 (multiplicity 4)  4 Tl 2.82, 4 Ga 2.82

Properties
mass density = 9362 kg/m3
V = 17.27 Å³/atom



Quick one: least stable of them? run two



Run one
First-principles (PBE) data for a geometry-optimized PmBeGa structure, as listed in the Open Quantum Materials Database.

Lattice parameters (Å, degrees): 6.2337 6.2337 6.2337 90.00 90.00 90.00
With the nearest neighbours (Å) after each atom.
Space group F-43m (No. 216)
Symmetry-distinct sites (fractional):
Pm 0.0000 0.0000 0.0000 (multiplicity 4)  4 Be 2.70
Be 0.2500 0.2500 0.7500 (multiplicity 4)  4 Pm 2.70, 4 Ga 2.70
Ga 0.0000 0.0000 0.5000 (multiplicity 4)  4 Be 2.70

Properties
magnetic moment = 0.0003 μB/atom
mass density = 6135 kg/m3
V = 20.19 Å³/atom



Run two
First-principles (PBE) data for a geometry-optimized PmBeGa structure, as listed in the Open Quantum Materials Database.

Lattice parameters (Å, degrees): 6.6222 6.6222 6.6222 90.00 90.00 90.00
With the nearest neighbours (Å) after each atom.
Space group F-43m (No. 216)
Symmetry-distinct sites (fractional):
Pm 0.0000 0.0000 0.0000 (multiplicity 4)  4 Be 2.87, 4 Ga 2.87
Be 0.2500 0.2500 0.7500 (multiplicity 4)  4 Pm 2.87
Ga 0.2500 0.2500 0.2500 (multiplicity 4)  4 Pm 2.87

Properties
magnetic moment = 0.0001 μB/atom
mass density = 5117 kg/m3
V = 24.20 Å³/atom



Quick one: least stable of them? run two



Run one
First-principles (PBE) data for a geometry-optimized BeGaPt structure, as listed in the Open Quantum Materials Database.

Lattice parameters (Å, degrees): 5.6896 5.6896 5.6896 90.00 90.00 90.00
With the nearest neighbours (Å) after each atom.
Space group F-43m (No. 216)
Symmetry-distinct sites (fractional):
Be 0.0000 0.0000 0.0000 (multiplicity 4)  4 Ga 2.46
Ga 0.2500 0.2500 0.2500 (multiplicity 4)  4 Be 2.46, 4 Pt 2.46
Pt 0.0000 0.0000 0.5000 (multiplicity 4)  4 Ga 2.46

Properties
magnetic moment = 0.0002 μB/atom
mass density = 9875 kg/m3
V = 15.35 Å³/atom



Run two
First-principles (PBE) data for a geometry-optimized BeGaPt structure, as listed in the Open Quantum Materials Database.

Lattice parameters (Å, degrees): 5.7253 5.7253 5.7253 90.00 90.00 90.00
With the nearest neighbours (Å) after each atom.
Space group F-43m (No. 216)
Symmetry-distinct sites (fractional):
Be 0.0000 0.0000 0.0000 (multiplicity 4)  4 Pt 2.48
Ga 0.0000 0.0000 0.5000 (multiplicity 4)  4 Pt 2.48
Pt 0.2500 0.2500 0.2500 (multiplicity 4)  4 Be 2.48, 4 Ga 2.48

Properties
magnetic moment = 0.0001 μB/atom
mass density = 9691 kg/m3
V = 15.64 Å³/atom



Quick one: least stable of them? run one



Run one
First-principles (PBE) data for a geometry-optimized ScBeGaPt structure, as listed in the Open Quantum Materials Database.

Lattice parameters (Å, degrees): 6.1493 6.1493 6.1493 90.00 90.00 90.00
With the nearest neighbours (Å) after each atom.
Space group F-43m (No. 216)
Symmetry-distinct sites (fractional):
Sc 0.0000 0.0000 0.0000 (multiplicity 4)  4 Be 2.66, 4 Ga 2.66
Be 0.2500 0.2500 0.2500 (multiplicity 4)  4 Sc 2.66, 4 Pt 2.66
Ga 0.2500 0.2500 0.7500 (multiplicity 4)  4 Sc 2.66, 4 Pt 2.66
Pt 0.0000 0.0000 0.5000 (multiplicity 4)  4 Be 2.66, 4 Ga 2.66

Properties
magnetic moment = 0.0004 μB/atom
mass density = 9106 kg/m3
V = 14.53 Å³/atom



Run two
First-principles (PBE) data for a geometry-optimized ScBeGaPt structure, as listed in the Open Quantum Materials Database.

Lattice parameters (Å, degrees): 6.2198 6.2198 6.2198 90.00 90.00 90.00
With the nearest neighbours (Å) after each atom.
Space group F-43m (No. 216)
Symmetry-distinct sites (fractional):
Sc 0.0000 0.0000 0.0000 (multiplicity 4)  4 Pt 2.69, 4 Be 2.69
Be 0.2500 0.2500 0.2500 (multiplicity 4)  4 Sc 2.69, 4 Ga 2.69
Ga 0.0000 0.0000 0.5000 (multiplicity 4)  4 Be 2.69, 4 Pt 2.69
Pt 0.2500 0.2500 0.7500 (multiplicity 4)  4 Sc 2.69, 4 Ga 2.69

Properties
magnetic moment = 0.0002 μB/atom
mass density = 8799 kg/m3
V = 15.04 Å³/atom



Run three
First-principles (PBE) data for a geometry-optimized ScBeGaPt structure, as listed in the Open Quantum Materials Database.

Lattice parameters (Å, degrees): 6.2386 6.2386 6.2386 90.00 90.00 90.00
With the nearest neighbours (Å) after each atom.
Space group F-43m (No. 216)
Symmetry-distinct sites (fractional):
Sc 0.0000 0.0000 0.0000 (multiplicity 4)  4 Pt 2.70, 4 Ga 2.70
Be 0.0000 0.0000 0.5000 (multiplicity 4)  4 Pt 2.70, 4 Ga 2.70
Ga 0.2500 0.2500 0.2500 (multiplicity 4)  4 Sc 2.70, 4 Be 2.70
Pt 0.2500 0.2500 0.7500 (multiplicity 4)  4 Be 2.70, 4 Sc 2.70

Properties
magnetic moment = 0.0006 μB/atom
mass density = 8720 kg/m3
V = 15.18 Å³/atom



Quick one: least stable of them? run three



Run one
First-principles (PBE) data for a geometry-optimized BeTlGaPt structure, as listed in the Open Quantum Materials Database.

Lattice parameters (Å, degrees): 6.5538 6.5538 6.5538 90.00 90.00 90.00
With the nearest neighbours (Å) after each atom.
Space group F-43m (No. 216)
Symmetry-distinct sites (fractional):
Be 0.0000 0.0000 0.0000 (multiplicity 4)  4 Pt 2.84, 4 Ga 2.84
Tl 0.0000 0.0000 0.5000 (multiplicity 4)  4 Pt 2.84, 4 Ga 2.84
Ga 0.2500 0.2500 0.7500 (multiplicity 4)  4 Tl 2.84, 4 Be 2.84
Pt 0.2500 0.2500 0.2500 (multiplicity 4)  4 Tl 2.84, 4 Be 2.84

Properties
magnetic moment = 0.0005 μB/atom
mass density = 11283 kg/m3
V = 17.59 Å³/atom



Run two
First-principles (PBE) data for a geometry-optimized BeTlGaPt structure, as listed in the Open Quantum Materials Database.

Lattice parameters (Å, degrees): 6.4748 6.4748 6.4748 90.00 90.00 90.00
With the nearest neighbours (Å) after each atom.
Space group F-43m (No. 216)
Symmetry-distinct sites (fractional):
Be 0.0000 0.0000 0.0000 (multiplicity 4)  4 Tl 2.80, 4 Pt 2.80
Tl 0.2500 0.2500 0.7500 (multiplicity 4)  4 Be 2.80, 4 Ga 2.80
Ga 0.0000 0.0000 0.5000 (multiplicity 4)  4 Tl 2.80, 4 Pt 2.80
Pt 0.2500 0.2500 0.2500 (multiplicity 4)  4 Be 2.80, 4 Ga 2.80

Properties
magnetic moment = 0.0004 μB/atom
mass density = 11701 kg/m3
V = 16.97 Å³/atom



Quick one: least stable of them? run one